The following is a PBE-GGA calculation of CdTc2Au after structural relaxation, from Alexandria via LeMat-Bulk.

Formation enthalpy at 0 K   0.459 eV per atom
Electronic total energy   -23.09 eV/f.u.

```
data_CdTc2Au
_space_group_name_H-M_alt 'P 4/m m m'
_space_group_IT_number 123
_space_group_name_Hall '-P 4 2'
_cell_length_a 3.830
_cell_length_b 3.830
_cell_length_c 4.525
_cell_angle_alpha 90.00
_cell_angle_beta 90.00
_cell_angle_gamma 90.00
loop_
_atom_site_label
_atom_site_fract_x
_atom_site_fract_y
_atom_site_fract_z
Cd1 0.000 0.000 0.000
Tc1 0.000 0.500 0.500
Au1 0.500 0.500 0.000
```